*1*
Below is crystalline PrTmMgHg at its relaxed geometry, with properties calculated at the PBE level.

Summary:
N(E_F), states/eV/cell: 18.471
Total moment, μB per cell: 0.001

Cell lengths 7.5918, 7.5918, 7.5918 Å; angles 90.00, 90.00, 90.00 degrees
Closest atoms and distances in Å follow each position.
Element x y z (fractional)
Pr 0.0000 0.0000 0.0000  4 Hg 3.29, 4 Mg 3.29
Pr 0.0000 0.5000 0.5000  4 Hg 3.29, 4 Mg 3.29
Pr 0.5000 0.0000 0.5000  4 Hg 3.29, 4 Mg 3.29
Pr 0.5000 0.5000 0.0000  4 Hg 3.29, 4 Mg 3.29
Tm 0.0000 0.0000 0.5000  4 Hg 3.29, 4 Mg 3.29
Tm 0.0000 0.5000 0.0000  4 Hg 3.29, 4 Mg 3.29
Tm 0.5000 0.0000 0.0000  4 Hg 3.29, 4 Mg 3.29
Tm 0.5000 0.5000 0.5000  4 Hg 3.29, 4 Mg 3.29
Mg 0.2500 0.2500 0.2500  4 Tm 3.29, 4 Pr 3.29
Mg 0.2500 0.7500 0.7500  4 Pr 3.29, 4 Tm 3.29
Mg 0.7500 0.2500 0.7500  4 Pr 3.29, 4 Tm 3.29
Mg 0.7500 0.7500 0.2500  4 Pr 3.29, 4 Tm 3.29
Hg 0.2500 0.2500 0.7500  4 Pr 3.29, 4 Tm 3.29
Hg 0.2500 0.7500 0.2500  4 Pr 3.29, 4 Tm 3.29
Hg 0.7500 0.2500 0.2500  4 Pr 3.29, 4 Tm 3.29
Hg 0.7500 0.7500 0.7500  4 Pr 3.29, 4 Tm 3.29

---

*2*
Below is crystalline PrTmMgHg at its relaxed geometry, with properties calculated at the PBE level.

Summary:
N(E_F), states/eV/cell: 4.324
Total moment, μB per cell: 0.001

Cell lengths 3.7553, 3.7553, 7.7580 Å; angles 90.00, 90.00, 90.00 degrees
Closest atoms and distances in Å follow each position.
Element x y z (fractional)
Pr 0.0000 0.0000 0.0000  4 Mg 3.38, 4 Hg 3.42, 4 Pr 3.76
Tm 0.0000 0.0000 0.4905  4 Hg 3.13, 4 Mg 3.24
Mg 0.5000 0.5000 0.7305  4 Tm 3.24, 4 Pr 3.38, 1 Hg 3.51
Hg 0.5000 0.5000 0.2781  4 Tm 3.13, 4 Pr 3.42

---

Last place for stability: *1*

---

*1*
Below is crystalline Mg4HgPt at its relaxed geometry, with properties calculated at the PBE level.

Summary:
N(E_F), states/eV/cell: 6.130
Total moment, μB per cell: 0.000

Cell lengths 7.8856, 4.5591, 8.0381 Å; angles 90.00, 109.22, 90.00 degrees
Closest atoms and distances in Å follow each position.
Element x y z (fractional)
Mg 0.1159 0.0000 0.3492  1 Pt 2.65, 3 Hg 2.87
Mg 0.1325 0.5000 0.8979  3 Pt 2.74, 1 Hg 3.02, 3 Mg 3.05
Mg 0.3675 0.0000 0.1021  3 Pt 2.74, 1 Hg 3.02, 3 Mg 3.05
Mg 0.3841 0.5000 0.6508  1 Pt 2.65, 3 Hg 2.87
Mg 0.6159 0.5000 0.3492  1 Pt 2.65, 3 Hg 2.87
Mg 0.6325 0.0000 0.8979  3 Pt 2.74, 1 Hg 3.02, 3 Mg 3.05
Mg 0.8675 0.5000 0.1021  3 Pt 2.74, 1 Hg 3.02, 3 Mg 3.05
Mg 0.8841 0.0000 0.6508  1 Pt 2.65, 3 Hg 2.87
Hg 0.0000 0.5000 0.5000  8 Mg 2.87-3.02
Hg 0.5000 0.0000 0.5000  8 Mg 2.87-3.02
Pt 0.0000 0.0000 0.0000  8 Mg 2.65-2.74
Pt 0.5000 0.5000 0.0000  8 Mg 2.65-2.74

---

*2*
Below is crystalline Mg4HgPt at its relaxed geometry, with properties calculated at the PBE level.

Summary:
N(E_F), states/eV/cell: 3.732
Total moment, μB per cell: 0.000

Cell lengths 5.5048, 5.5048, 5.5048 Å; angles 60.00, 60.00, 60.00 degrees
Closest atoms and distances in Å follow each position.
Element x y z (fractional)
Mg 0.1244 0.1244 0.1244  6 Mg 2.74-2.77
Mg 0.1244 0.1244 0.6268  6 Mg 2.74-2.77
Mg 0.1244 0.6268 0.1244  6 Mg 2.74-2.77
Mg 0.6268 0.1244 0.1244  6 Mg 2.74-2.77
Hg 0.5000 0.5000 0.5000  12 Mg 3.23, 4 Pt 3.37
Pt 0.7500 0.7500 0.7500  12 Mg 3.23, 4 Hg 3.37

---

Last place for stability: *2*

---

*1*
Below is crystalline Mg8HgPt2 at its relaxed geometry, with properties calculated at the PBE level.

Summary:
N(E_F), states/eV/cell: 3.485
Total moment, μB per cell: 0.000

Cell lengths 7.1700, 7.1700, 5.0306 Å; angles 97.74, 97.74, 111.48 degrees
Closest atoms and distances in Å follow each position.
Element x y z (fractional)
Mg 0.0623 0.3245 0.5839  2 Pt 2.68-2.69
Mg 0.2482 0.7518 0.0000  2 Pt 2.65, 1 Hg 2.94
Mg 0.3245 0.0623 0.5839  2 Pt 2.68-2.69
Mg 0.3782 0.3782 0.1927  2 Pt 2.70, 1 Hg 2.97
Mg 0.6218 0.6218 0.8073  2 Pt 2.70, 1 Hg 2.97
Mg 0.6755 0.9377 0.4161  2 Pt 2.68-2.69
Mg 0.7518 0.2482 0.0000  2 Pt 2.65, 1 Hg 2.94
Mg 0.9377 0.6755 0.4161  2 Pt 2.68-2.69
Hg 0.0000 0.0000 0.0000  8 Mg 2.94-3.29
Pt 0.3181 0.6819 0.5000  8 Mg 2.65-2.70
Pt 0.6819 0.3181 0.5000  8 Mg 2.65-2.70

---

*2*
Below is crystalline Mg8HgPt2 at its relaxed geometry, with properties calculated at the PBE level.

Summary:
N(E_F), states/eV/cell: 4.050
Total moment, μB per cell: 0.000

Cell lengths 4.4408, 6.8218, 8.1638 Å; angles 111.54, 105.58, 90.46 degrees
Closest atoms and distances in Å follow each position.
Element x y z (fractional)
Mg 0.0273 0.2514 0.0565  1 Pt 2.68, 2 Hg 2.92-2.94
Mg 0.1940 0.7912 0.3876  3 Pt 2.72-2.90, 2 Mg 2.97-3.02
Mg 0.3253 0.5619 0.6487  3 Pt 2.69-2.88, 1 Hg 2.95, 1 Mg 3.00
Mg 0.3955 0.0372 0.7922  2 Pt 2.69-2.71, 1 Hg 2.95, 4 Mg 2.97-3.01
Mg 0.6045 0.9628 0.2078  2 Pt 2.69-2.71, 1 Hg 2.95, 4 Mg 2.97-3.01
Mg 0.6747 0.4381 0.3513  3 Pt 2.69-2.88, 1 Hg 2.95, 1 Mg 3.00
Mg 0.8060 0.2088 0.6124  3 Pt 2.72-2.90, 2 Mg 2.97-3.02
Mg 0.9727 0.7486 0.9435  1 Pt 2.68, 2 Hg 2.92-2.94
Hg 0.5000 0.5000 0.0000  8 Mg 2.92-2.95
Pt 0.1843 0.1808 0.3686  9 Mg 2.68-2.90
Pt 0.8157 0.8192 0.6314  9 Mg 2.68-2.90

---

Last place for stability: *1*

---

*1*
Below is crystalline Mg2Hg2Pt at its relaxed geometry, with properties calculated at the PBE level.

Summary:
N(E_F), states/eV/cell: 3.063
Total moment, μB per cell: 0.000

Cell lengths 3.1233, 3.1233, 20.3397 Å; angles 90.00, 90.00, 90.00 degrees
Closest atoms and distances in Å follow each position.
Element x y z (fractional)
Mg 0.0000 0.0000 0.0801  4 Pt 2.74
Mg 0.0000 0.0000 0.9199  4 Pt 2.74
Mg 0.5000 0.5000 0.4199  4 Pt 2.74
Mg 0.5000 0.5000 0.5801  4 Pt 2.74
Hg 0.0000 0.0000 0.3139  4 Mg 3.09, 8 Hg 3.12-3.41
Hg 0.0000 0.0000 0.6861  4 Mg 3.09, 8 Hg 3.12-3.41
Hg 0.5000 0.5000 0.1861  4 Mg 3.09, 8 Hg 3.12-3.41
Hg 0.5000 0.5000 0.8139  4 Mg 3.09, 8 Hg 3.12-3.41
Pt 0.0000 0.0000 0.5000  8 Mg 2.74
Pt 0.5000 0.5000 0.0000  8 Mg 2.74

---

*2*
Below is crystalline Mg2Hg2Pt at its relaxed geometry, with properties calculated at the PBE level.

Summary:
N(E_F), states/eV/cell: 5.049
Total moment, μB per cell: 0.000

Cell lengths 7.3335, 7.3335, 3.7648 Å; angles 90.00, 90.00, 90.00 degrees
Closest atoms and distances in Å follow each position.
Element x y z (fractional)
Mg 0.1682 0.3318 0.0000  6 Hg 2.74-2.95
Mg 0.3318 0.8318 0.0000  6 Hg 2.74-2.95
Mg 0.6682 0.1682 0.0000  6 Hg 2.74-2.95
Mg 0.8318 0.6682 0.0000  6 Hg 2.74-2.95
Hg 0.1396 0.6396 0.5000  6 Mg 2.74-2.95, 2 Pt 2.83, 1 Hg 2.89
Hg 0.3604 0.1396 0.5000  6 Mg 2.74-2.95, 2 Pt 2.83, 1 Hg 2.89
Hg 0.6396 0.8604 0.5000  6 Mg 2.74-2.95, 2 Pt 2.83, 1 Hg 2.89
Hg 0.8604 0.3604 0.5000  6 Mg 2.74-2.95, 2 Pt 2.83, 1 Hg 2.89
Pt 0.0000 0.0000 0.5000  4 Hg 2.83
Pt 0.5000 0.5000 0.5000  4 Hg 2.83

---

Last place for stability: *2*

---

*1*
Below is crystalline RbMgHg2Pt at its relaxed geometry, with properties calculated at the PBE level.

Summary:
N(E_F), states/eV/cell: 4.539
Total moment, μB per cell: 0.027

Cell lengths 5.3005, 5.3005, 6.4230 Å; angles 90.00, 90.00, 90.00 degrees
Closest atoms and distances in Å follow each position.
Element x y z (fractional)
Rb 0.0000 0.0000 0.0000  2 Mg 3.21
Mg 0.0000 0.0000 0.5000  4 Hg 2.65
Hg 0.0000 0.5000 0.5000  2 Mg 2.65
Hg 0.5000 0.0000 0.5000  2 Mg 2.65
Pt 0.5000 0.5000 0.0000  4 Rb 3.75, 8 Hg 4.16

---

*2*
Below is crystalline RbMgHg2Pt at its relaxed geometry, with properties calculated at the PBE level.

Summary:
N(E_F), states/eV/cell: 1.210
Total moment, μB per cell: 0.000

Cell lengths 5.4252, 5.4252, 5.0958 Å; angles 90.00, 90.00, 90.00 degrees
Closest atoms and distances in Å follow each position.
Element x y z (fractional)
Rb 0.0000 0.0000 0.0000  8 Hg 3.72, 4 Mg 3.84
Mg 0.5000 0.5000 0.0000  2 Pt 2.55
Hg 0.0000 0.5000 0.5000  2 Pt 2.71
Hg 0.5000 0.0000 0.5000  2 Pt 2.71
Pt 0.5000 0.5000 0.5000  2 Mg 2.55, 4 Hg 2.71

---

Last place for stability: *1*

---

*1*
Below is crystalline PuMgHg3 at its relaxed geometry, with properties calculated at the PBE level.

Summary:
N(E_F), states/eV/cell: 23.242
Total moment, μB per cell: 12.118

Cell lengths 7.8906, 7.8906, 5.6837 Å; angles 110.85, 110.85, 111.06 degrees
Closest atoms and distances in Å follow each position.
Element x y z (fractional)
Pu 0.2240 0.7760 0.7500  8 Hg 3.24-3.36, 2 Mg 3.52, 2 Pu 3.54
Pu 0.7760 0.2240 0.2500  8 Hg 3.24-3.36, 2 Mg 3.52, 2 Pu 3.54
Mg 0.0640 0.9360 0.2500  6 Hg 2.87-2.98
Mg 0.9360 0.0640 0.7500  6 Hg 2.87-2.98
Hg 0.0000 0.5000 0.0000  2 Mg 2.98, 2 Hg 3.21, 2 Pu 3.33
Hg 0.2648 0.3785 0.4119  2 Mg 2.87-2.97, 5 Hg 3.05-3.21
Hg 0.3785 0.2648 0.9119  2 Mg 2.87-2.97, 5 Hg 3.05-3.21
Hg 0.5000 0.0000 0.5000  2 Mg 2.98, 2 Hg 3.21, 2 Pu 3.33
Hg 0.6215 0.7352 0.0881  2 Mg 2.87-2.97, 5 Hg 3.05-3.21
Hg 0.7352 0.6215 0.5881  2 Mg 2.87-2.97, 5 Hg 3.05-3.21

---

*2*
Below is crystalline PuMgHg3 at its relaxed geometry, with properties calculated at the PBE level.

Summary:
N(E_F), states/eV/cell: 25.223
Total moment, μB per cell: 11.975

Cell lengths 7.6384, 7.6384, 6.4702 Å; angles 93.53, 93.53, 41.03 degrees
Closest atoms and distances in Å follow each position.
Element x y z (fractional)
Pu 0.0937 0.0937 0.1480  8 Hg 3.16-3.40, 1 Pu 3.19
Pu 0.9063 0.9063 0.8520  8 Hg 3.16-3.40, 1 Pu 3.19
Mg 0.3140 0.3140 0.4995  6 Hg 3.01-3.16, 2 Mg 3.24
Mg 0.6860 0.6860 0.5005  6 Hg 3.01-3.16, 2 Mg 3.24
Hg 0.1174 0.1174 0.6381  3 Mg 3.01, 2 Pu 3.17-3.34, 3 Hg 3.18-3.27
Hg 0.2997 0.2997 0.9718  4 Hg 3.06-3.27, 2 Mg 3.08-3.41, 3 Pu 3.20-3.23
Hg 0.4886 0.4886 0.2511  2 Mg 3.06-3.16, 5 Hg 3.15-3.29, 2 Pu 3.16
Hg 0.5114 0.5114 0.7489  2 Mg 3.06-3.16, 5 Hg 3.15-3.29, 2 Pu 3.16
Hg 0.7003 0.7003 0.0282  4 Hg 3.06-3.27, 2 Mg 3.08-3.41, 3 Pu 3.20-3.23
Hg 0.8826 0.8826 0.3619  3 Mg 3.01, 2 Pu 3.17-3.34, 3 Hg 3.18-3.27

---

Last place for stability: *1*

---

*1*
Below is crystalline PuMg2Hg6 at its relaxed geometry, with properties calculated at the PBE level.

Summary:
N(E_F), states/eV/cell: 12.651
Total moment, μB per cell: 5.921

Cell lengths 8.8064, 8.8064, 8.8064 Å; angles 158.56, 121.08, 63.45 degrees
Closest atoms and distances in Å follow each position.
Element x y z (fractional)
Pu 0.0000 0.0000 0.0000  2 Pu 3.28, 12 Hg 3.31-3.43
Mg 0.3533 0.8533 0.5000  10 Hg 3.06-3.31, 2 Mg 3.28
Mg 0.6467 0.1467 0.5000  10 Hg 3.06-3.31, 2 Mg 3.28
Hg 0.0031 0.6751 0.3280  6 Hg 2.96-3.28, 3 Mg 3.06-3.31
Hg 0.3315 0.5000 0.8315  3 Hg 2.92-2.96, 4 Mg 3.11
Hg 0.3471 0.6751 0.6720  6 Hg 2.96-3.28, 3 Mg 3.06-3.31
Hg 0.6529 0.3249 0.3280  6 Hg 2.96-3.28, 3 Mg 3.06-3.31
Hg 0.6685 0.5000 0.1685  3 Hg 2.92-2.96, 4 Mg 3.11
Hg 0.9969 0.3249 0.6720  6 Hg 2.96-3.28, 3 Mg 3.06-3.31

---

*2*
Below is crystalline PuMg2Hg6 at its relaxed geometry, with properties calculated at the PBE level.

Summary:
N(E_F), states/eV/cell: 16.702
Total moment, μB per cell: 6.125

Cell lengths 11.1026, 11.1026, 11.1026 Å; angles 154.72, 154.72, 36.05 degrees
Closest atoms and distances in Å follow each position.
Element x y z (fractional)
Pu 0.0000 0.0000 0.0000  8 Hg 3.19
Mg 0.3270 0.3270 0.0000  8 Hg 2.90-2.92
Mg 0.6730 0.6730 0.0000  8 Hg 2.90-2.92
Hg 0.0981 0.5981 0.5000  2 Mg 2.90, 2 Pu 3.19, 1 Hg 3.21
Hg 0.2500 0.7500 0.5000  4 Mg 2.92, 2 Hg 3.21
Hg 0.4019 0.9019 0.5000  2 Mg 2.90, 2 Pu 3.19, 1 Hg 3.21
Hg 0.5981 0.0981 0.5000  2 Mg 2.90, 2 Pu 3.19, 1 Hg 3.21
Hg 0.7500 0.2500 0.5000  4 Mg 2.92, 2 Hg 3.21
Hg 0.9019 0.4019 0.5000  2 Mg 2.90, 2 Pu 3.19, 1 Hg 3.21

---

Last place for stability: *2*

---

*1*
Below is crystalline RbMg2Hg2 at its relaxed geometry, with properties calculated at the PBE level.

Summary:
N(E_F), states/eV/cell: 4.029
Total moment, μB per cell: 0.000

Cell lengths 9.0698, 9.0698, 3.2939 Å; angles 90.00, 90.00, 90.00 degrees
Closest atoms and distances in Å follow each position.
Element x y z (fractional)
Rb 0.0000 0.0000 0.0000  2 Rb 3.29, 4 Mg 3.59
Rb 0.5000 0.5000 0.0000  2 Rb 3.29, 4 Mg 3.59
Mg 0.1239 0.3761 0.0000  6 Hg 3.14, 3 Mg 3.18-3.29
Mg 0.3761 0.8761 0.0000  6 Hg 3.14, 3 Mg 3.18-3.29
Mg 0.6239 0.1239 0.0000  6 Hg 3.14, 3 Mg 3.18-3.29
Mg 0.8761 0.6239 0.0000  6 Hg 3.14, 3 Mg 3.18-3.29
Hg 0.1675 0.6675 0.5000  6 Mg 3.14, 2 Hg 3.29
Hg 0.3325 0.1675 0.5000  6 Mg 3.14, 2 Hg 3.29
Hg 0.6675 0.8325 0.5000  6 Mg 3.14, 2 Hg 3.29
Hg 0.8325 0.3325 0.5000  6 Mg 3.14, 2 Hg 3.29

---

*2*
Below is crystalline RbMg2Hg2 at its relaxed geometry, with properties calculated at the PBE level.

Summary:
N(E_F), states/eV/cell: 6.079
Total moment, μB per cell: 0.000

Cell lengths 4.9043, 4.9043, 12.7524 Å; angles 90.00, 90.00, 90.00 degrees
Closest atoms and distances in Å follow each position.
Element x y z (fractional)
Rb 0.0000 0.0000 0.0000  8 Hg 3.80, 8 Mg 4.02
Rb 0.5000 0.5000 0.5000  8 Hg 3.80, 8 Mg 4.02
Mg 0.0000 0.5000 0.2500  4 Hg 2.94
Mg 0.0000 0.5000 0.7500  4 Hg 2.94
Mg 0.5000 0.0000 0.2500  4 Hg 2.94
Mg 0.5000 0.0000 0.7500  4 Hg 2.94
Hg 0.0000 0.0000 0.3774  4 Mg 2.94, 1 Hg 3.13
Hg 0.0000 0.0000 0.6226  4 Mg 2.94, 1 Hg 3.13
Hg 0.5000 0.5000 0.1226  4 Mg 2.94, 1 Hg 3.13
Hg 0.5000 0.5000 0.8774  4 Mg 2.94, 1 Hg 3.13

---

Last place for stability: *1*